Material: Sr2V3Se5O18
Method: DFT, PBE+U
State: relaxed

Cell: 9.2175 10.8217 17.1564 Å, 90.00 90.00 90.00°
Closest atoms and distances in Å follow each position.
Positions (direct):
O 0.1163 0.1164 0.5910  1 Se 1.74
O 0.5265 0.3854 0.9379  1 Se 1.76
O 0.8568 0.4299 0.2156  1 Se 1.76
Se 0.3997 0.2500 0.4380  3 O 1.69-1.76
O 0.4518 0.1013 0.5843  1 V 1.65
O 0.4518 0.3987 0.5843  1 V 1.65
O 0.7768 0.4137 0.8757  1 Se 1.73
O 0.4735 0.8854 0.0621  1 Se 1.76
O 0.2797 0.2500 0.9570  1 Se 1.69
O 0.4185 0.8815 0.7599  1 Se 1.71
O 0.5482 0.8987 0.4157  1 V 1.65
O 0.5482 0.6013 0.4157  1 V 1.65
V 0.9770 0.7500 0.4804  1 O 1.66
O 0.9518 0.8987 0.9157  1 V 1.65
O 0.3568 0.9299 0.2844  1 Se 1.76
O 0.9004 0.6298 0.1315  1 Se 1.76
Sr 0.8952 0.2500 0.3095  6 O 2.55-2.74
O 0.8837 0.6164 0.4090  1 Se 1.74
Se 0.3206 0.5197 0.0487  3 O 1.73-1.76
Se 0.8206 0.0197 0.4513  3 O 1.73-1.76
O 0.4735 0.6146 0.0621  1 Se 1.76
O 0.3568 0.5701 0.2844  1 Se 1.76
O 0.9735 0.3854 0.4379  1 Se 1.76
O 0.6472 0.8945 0.2497  1 Se 1.78
O 0.6163 0.8836 0.9090  1 Se 1.74
O 0.0482 0.3987 0.0843  1 V 1.65
V 0.0361 0.4936 0.1591  1 O 1.65
O 0.2232 0.9137 0.1243  1 Se 1.73
O 0.8640 0.2500 0.5644  1 V 1.66
O 0.2232 0.5863 0.1243  1 Se 1.73
O 0.5815 0.3815 0.2401  1 Se 1.71
V 0.5361 0.5064 0.3409  1 O 1.65
O 0.6360 0.2500 0.0644  1 V 1.66
O 0.1432 0.9299 0.7844  1 Se 1.76
Se 0.3156 0.9803 0.8146  3 O 1.71-1.78
O 0.5996 0.8702 0.6315  1 Se 1.76
Se 0.8156 0.4803 0.6854  3 O 1.71-1.78
Se 0.8156 0.0197 0.6854  3 O 1.71-1.78
Se 0.8997 0.7500 0.0620  3 O 1.69-1.76
O 0.7203 0.7500 0.0430  1 Se 1.69
Se 0.6844 0.0197 0.1854  3 O 1.71-1.78
O 0.0996 0.3702 0.8685  1 Se 1.76
Sr 0.3952 0.7500 0.1905  6 O 2.55-2.74
O 0.1360 0.7500 0.4356  1 V 1.66
V 0.0361 0.0064 0.1591  1 O 1.65
O 0.8837 0.8836 0.4090  1 Se 1.74
O 0.8528 0.8945 0.7497  1 Se 1.78
Sr 0.8614 0.7500 0.2828  6 O 2.51-2.61
O 0.1432 0.5701 0.7844  1 Se 1.76
O 0.3528 0.3945 0.7503  1 Se 1.78
O 0.4004 0.3702 0.3685  1 Se 1.76
O 0.0265 0.6146 0.5621  1 Se 1.76
O 0.7797 0.7500 0.5430  1 Se 1.69
O 0.2203 0.2500 0.4570  1 Se 1.69
O 0.3837 0.1164 0.0910  1 Se 1.74
O 0.3837 0.3836 0.0910  1 Se 1.74
O 0.6472 0.6055 0.2497  1 Se 1.78
V 0.4770 0.2500 0.0196  1 O 1.66
Sr 0.1048 0.7500 0.6905  6 O 2.55-2.74
O 0.8528 0.6055 0.7497  1 Se 1.78
O 0.4185 0.6185 0.7599  1 Se 1.71
V 0.9639 0.9936 0.8409  1 O 1.65
O 0.5815 0.1185 0.2401  1 Se 1.71
V 0.0230 0.2500 0.5196  1 O 1.66
Se 0.1003 0.2500 0.9380  3 O 1.69-1.76
O 0.9518 0.6013 0.9157  1 V 1.65
O 0.6163 0.6164 0.9090  1 Se 1.74
Se 0.1794 0.5197 0.5487  3 O 1.73-1.76
O 0.6432 0.0701 0.7156  1 Se 1.76
Se 0.1844 0.5197 0.3146  3 O 1.71-1.78
O 0.1163 0.3836 0.5910  1 Se 1.74
O 0.0996 0.1298 0.8685  1 Se 1.76
Se 0.6003 0.7500 0.5620  3 O 1.69-1.76
O 0.7768 0.0863 0.8757  1 Se 1.73
O 0.8568 0.0701 0.2156  1 Se 1.76
O 0.7232 0.0863 0.3757  1 Se 1.73
O 0.1472 0.1055 0.2503  1 Se 1.78
O 0.9185 0.1185 0.7401  1 Se 1.71
O 0.2768 0.9137 0.6243  1 Se 1.73
O 0.0482 0.1013 0.0843  1 V 1.65
O 0.5996 0.6298 0.6315  1 Se 1.76
O 0.1472 0.3945 0.2503  1 Se 1.78
Se 0.6794 0.0197 0.9513  3 O 1.73-1.76
Se 0.1794 0.9803 0.5487  3 O 1.73-1.76
Sr 0.1386 0.2500 0.7172  6 O 2.51-2.61
Se 0.3206 0.9803 0.0487  3 O 1.73-1.76
O 0.9004 0.8702 0.1315  1 Se 1.76
Se 0.8206 0.4803 0.4513  3 O 1.73-1.76
V 0.4639 0.4936 0.6591  1 O 1.65
O 0.9735 0.1146 0.4379  1 Se 1.76
Sr 0.6386 0.7500 0.7828  6 O 2.51-2.61
O 0.6432 0.4299 0.7156  1 Se 1.76
O 0.3528 0.1055 0.7503  1 Se 1.78
V 0.5230 0.7500 0.9804  1 O 1.66
V 0.5361 0.9936 0.3409  1 O 1.65
O 0.3640 0.7500 0.9356  1 V 1.66
Se 0.6794 0.4803 0.9513  3 O 1.73-1.76
O 0.4004 0.1298 0.3685  1 Se 1.76
V 0.4639 0.0064 0.6591  1 O 1.65
Se 0.3156 0.5197 0.8146  3 O 1.71-1.78
Sr 0.6048 0.2500 0.8095  6 O 2.55-2.74
Se 0.1844 0.9803 0.3146  3 O 1.71-1.78
O 0.0815 0.6185 0.2599  1 Se 1.71
V 0.9639 0.5064 0.8409  1 O 1.65
O 0.0815 0.8815 0.2599  1 Se 1.71
O 0.5265 0.1146 0.9379  1 Se 1.76
O 0.7232 0.4137 0.3757  1 Se 1.73
O 0.0265 0.8854 0.5621  1 Se 1.76
O 0.9185 0.3815 0.7401  1 Se 1.71
Se 0.6844 0.4803 0.1854  3 O 1.71-1.78
O 0.2768 0.5863 0.6243  1 Se 1.73
Sr 0.3614 0.2500 0.2172  6 O 2.51-2.61

electronic total energy	-6.296	eV per atom
symmetry	Pnma (62)
total moment	3.000	μB per formula unit